(1)
Here is an optimized crystal structure of Ce4PdAu3 from the Alexandria database. Energies are from GGA-PBE.

Uncorrected energy (eV per atom): -5.480

Unit cell a=3.8633 b=4.6953 c=11.2770 alpha=90.00 beta=90.00 gamma=90.00
Last column: nearest neighbours and their distance in Å.
Fractional coordinates of all 8 atoms:
Au1 0.0000 0.5000 0.5862  2 Au 3.06, 7 Ce 3.10-3.25
Au2 0.0000 0.0000 0.4127  2 Au 3.06, 7 Ce 3.11-3.21
Au3 0.5000 0.0000 0.9161  2 Pd 3.04, 7 Ce 3.09-3.15
Pd1 0.5000 0.5000 0.0880  7 Ce 3.00-3.16, 2 Au 3.04
Ce1 0.5000 0.5000 0.3539  1 Pd 3.00, 6 Au 3.11-3.25
Ce2 0.0000 0.5000 0.8663  5 Au 3.09-3.16, 2 Pd 3.16
Ce3 0.0000 0.0000 0.1372  4 Pd 3.09, 3 Au 3.11-3.15
Ce4 0.5000 0.0000 0.6397  7 Au 3.10-3.21

***

(2)
Here is an optimized crystal structure of Er4Hg from the Alexandria database. Energies are from GGA-PBE.

Uncorrected energy (eV per atom): -3.780

Unit cell a=6.3928 b=6.3928 c=8.6479 alpha=111.69 beta=111.69 gamma=90.00
Last column: nearest neighbours and their distance in Å.
Fractional coordinates of all 10 atoms:
Er1 0.0290 0.9200 0.3417  2 Hg 3.03-3.12
Er2 0.1716 0.2790 0.8417  2 Hg 3.03-3.12
Er3 0.7210 0.3300 0.1583  2 Hg 3.03-3.12
Er4 0.0800 0.6873 0.6583  2 Hg 3.03-3.12
Er5 0.6700 0.5627 0.8417  2 Hg 3.03-3.12
Er6 0.4373 0.8284 0.1583  2 Hg 3.03-3.12
Er7 0.5784 0.9710 0.6583  2 Hg 3.03-3.12
Er8 0.3127 0.4216 0.3417  2 Hg 3.03-3.12
Hg1 0.7500 0.2500 0.5000  8 Er 3.03-3.12
Hg2 0.0000 0.0000 0.0000  8 Er 3.03-3.12

***

(3)
Here is an optimized crystal structure of Cs2Sn3Sb2S10 from the Alexandria database. Energies are from GGA-PBE.

Formation energy (no corrections) (eV per formula unit): -9.8

Unit cell a=14.2152 b=7.2642 c=12.4193 alpha=58.74 beta=90.00 gamma=90.00
Last column: nearest neighbours and their distance in Å.
Fractional coordinates of all 34 atoms:
Cs1 0.3293 0.4439 0.1638  7 S 3.51-3.87
Cs2 0.1707 0.4439 0.6638  7 S 3.51-3.87
Cs3 0.6707 0.5561 0.8362  7 S 3.51-3.87
Cs4 0.8293 0.5561 0.3362  7 S 3.51-3.87
Sn1 0.0000 0.5000 0.0000  6 S 2.57-2.62
Sn2 0.5000 0.5000 0.5000  6 S 2.57-2.62
Sn3 0.0482 0.1091 0.3495  4 S 2.41-2.52
Sn4 0.4518 0.1091 0.8495  4 S 2.41-2.52
Sn5 0.9518 0.8909 0.6505  4 S 2.41-2.52
Sn6 0.5482 0.8909 0.1505  4 S 2.41-2.52
Sb1 0.1319 0.0070 0.1017  3 S 2.46-2.53
Sb2 0.3681 0.0070 0.6017  3 S 2.46-2.53
Sb3 0.8681 0.9930 0.8983  3 S 2.46-2.53
Sb4 0.6319 0.9930 0.3983  3 S 2.46-2.53
S1 0.1658 0.3939 0.9687  1 Sb 2.46, 1 Sn 2.57
S2 0.3342 0.3939 0.4687  1 Sb 2.46, 1 Sn 2.57
S3 0.8342 0.6061 0.0313  1 Sb 2.46, 1 Sn 2.57
S4 0.6658 0.6061 0.5313  1 Sb 2.46, 1 Sn 2.57
S5 0.9676 0.0843 0.1312  1 Sb 2.47, 1 Sn 2.62
S6 0.5324 0.0843 0.6312  1 Sb 2.47, 1 Sn 2.62
S7 0.0324 0.9157 0.8688  1 Sb 2.47, 1 Sn 2.62
S8 0.4676 0.9157 0.3688  1 Sb 2.47, 1 Sn 2.62
S9 0.9458 0.5081 0.7966  2 Sn 2.41-2.61
S10 0.5542 0.5081 0.2966  2 Sn 2.41-2.61
S11 0.0542 0.4919 0.2034  2 Sn 2.41-2.61
S12 0.4458 0.4919 0.7034  2 Sn 2.41-2.61
S13 0.1790 0.9245 0.3191  1 Sn 2.43, 1 Sb 2.53
S14 0.3210 0.9245 0.8191  1 Sn 2.43, 1 Sb 2.53
S15 0.8210 0.0755 0.6809  1 Sn 2.43, 1 Sb 2.53
S16 0.6790 0.0755 0.1809  1 Sn 2.43, 1 Sb 2.53
S17 0.8981 0.9350 0.4447  2 Sn 2.45-2.52
S18 0.6019 0.9350 0.9447  2 Sn 2.45-2.52
S19 0.1019 0.0650 0.5553  2 Sn 2.45-2.52
S20 0.3981 0.0650 0.0553  2 Sn 2.45-2.52

***

(4)
Here is an optimized crystal structure of RhBrN2 from the Alexandria database. Energies are from GGA-PBE.

Formation energy (no corrections) (eV per formula unit): 7.0

Unit cell a=6.6872 b=6.6872 c=6.6872 alpha=27.85 beta=27.85 gamma=27.85
Last column: nearest neighbours and their distance in Å.
Fractional coordinates of all 4 atoms:
Rh1 0.0000 0.0000 0.0000  2 N 1.85
Br1 0.5000 0.5000 0.5000  6 N 2.30
N1 0.9041 0.9041 0.9041  1 Rh 1.85
N2 0.0959 0.0959 0.0959  1 Rh 1.85

***

(5)
Here is an optimized crystal structure of ZrSb2Te from the Alexandria database. Energies are from GGA-PBE.

Formation energy (no corrections) (eV per formula unit): -0.2

Unit cell a=5.3778 b=5.3778 c=3.6300 alpha=90.00 beta=90.00 gamma=106.55
Last column: nearest neighbours and their distance in Å.
Fractional coordinates of all 4 atoms:
Sb1 0.0000 0.0000 0.0000  2 Sb 3.22, 4 Zr 3.24, 4 Te 3.24
Sb2 0.5000 0.5000 0.0000  2 Sb 3.22, 4 Te 3.24, 4 Zr 3.24
Te1 0.5000 0.0000 0.5000  2 Zr 3.22, 8 Sb 3.24
Zr1 0.0000 0.5000 0.5000  2 Te 3.22, 8 Sb 3.24

***

(6)
Here is an optimized crystal structure of PuAlPt from the Alexandria database. Energies are from GGA-PBE.

Uncorrected energy (eV per atom): -8.700

Unit cell a=3.1308 b=3.1308 c=6.2755 alpha=104.44 beta=104.44 gamma=90.00
Last column: nearest neighbours and their distance in Å.
Fractional coordinates of all 3 atoms:
Al1 0.3045 0.3045 0.6090  4 Pt 2.58
Pt1 0.6915 0.6915 0.3830  4 Al 2.58
Pu1 0.0040 0.0040 0.0080  4 Pt 3.12, 4 Pu 3.13, 4 Al 3.22

***

(7)
Here is an optimized crystal structure of SrPb2WN from the Alexandria database. Energies are from GGA-PBE.

Formation energy (no corrections) (eV per formula unit): 1.2

Unit cell a=5.7652 b=3.8800 c=5.7652 alpha=90.00 beta=90.00 gamma=90.00
Last column: nearest neighbours and their distance in Å.
Fractional coordinates of all 5 atoms:
Pb1 0.0000 0.0000 0.5000  2 W 2.88
Pb2 0.5000 0.0000 0.0000  2 W 2.88
Sr1 0.5000 0.5000 0.5000  8 Pb 3.47, 2 Sr 3.88
W1 0.0000 0.0000 0.0000  2 N 1.94
N1 0.0000 0.5000 0.0000  2 W 1.94

***

(8)
Here is an optimized crystal structure of AcLa6Ho4 from the Alexandria database. Energies are from GGA-PBE.

Uncorrected energy (eV per atom): -4.427

Unit cell a=10.0010 b=10.0010 c=10.0010 alpha=56.47 beta=140.91 gamma=140.91
Last column: nearest neighbours and their distance in Å.
Fractional coordinates of all 11 atoms:
Ac1 0.0000 0.0000 0.0000  4 La 3.35, 4 Ho 3.63
La1 0.0000 0.8074 0.4568  5 Ho 3.30-3.64, 3 La 3.32-3.39
La2 0.0000 0.4568 0.8074  5 Ho 3.30-3.64, 3 La 3.32-3.39
La3 0.3506 0.5432 0.5432  5 Ho 3.30-3.64, 3 La 3.32-3.39
La4 0.5000 0.5000 0.0000  2 Ac 3.35, 4 La 3.39
La5 0.6494 0.1926 0.1926  5 Ho 3.30-3.64, 3 La 3.32-3.39
La6 0.5000 0.0000 0.5000  2 Ac 3.35, 4 La 3.39
Ho1 0.0000 0.6343 0.0041  5 La 3.30-3.64, 1 Ho 3.50, 1 Ac 3.63
Ho2 0.3698 0.3657 0.3657  5 La 3.30-3.64, 1 Ho 3.50, 1 Ac 3.63
Ho3 0.0000 0.0041 0.6343  5 La 3.30-3.64, 1 Ho 3.50, 1 Ac 3.63
Ho4 0.6302 0.9959 0.9959  5 La 3.30-3.64, 1 Ho 3.50, 1 Ac 3.63

***

(9)
Here is an optimized crystal structure of ErReSi2Ir from the Alexandria database. Energies are from GGA-PBE.

Formation energy (no corrections) (eV per formula unit): -3.9

Unit cell a=4.1906 b=4.1906 c=5.6520 alpha=111.76 beta=111.76 gamma=90.00
Last column: nearest neighbours and their distance in Å.
Fractional coordinates of all 5 atoms:
Er1 0.0000 0.0000 0.0000  4 Re 3.19, 4 Ir 3.19, 8 Si 3.20
Re1 0.2500 0.7500 0.5000  4 Si 2.41
Si1 0.6261 0.6261 0.2523  2 Re 2.41, 2 Ir 2.41, 1 Si 2.43
Si2 0.3739 0.3739 0.7477  2 Re 2.41, 2 Ir 2.41, 1 Si 2.43
Ir1 0.7500 0.2500 0.5000  4 Si 2.41

***

(10)
Here is an optimized crystal structure of Y4Rh3 from the Alexandria database. Energies are from GGA-PBE.

Uncorrected energy (eV per atom): -7.402

Unit cell a=11.6622 b=11.6622 c=11.6622 alpha=160.97 beta=160.97 gamma=27.04
Last column: nearest neighbours and their distance in Å.
Fractional coordinates of all 7 atoms:
Y1 0.8171 0.8171 0.0000  5 Rh 2.73-2.91
Y2 0.5682 0.5682 0.0000  1 Rh 2.73
Y3 0.4318 0.4318 0.0000  1 Rh 2.73
Y4 0.1829 0.1829 0.0000  5 Rh 2.73-2.91
Rh1 0.0000 0.0000 0.0000  8 Y 3.13
Rh2 0.6887 0.6887 0.0000  6 Y 2.73-2.91
Rh3 0.3113 0.3113 0.0000  6 Y 2.73-2.91

***

(11)
Here is an optimized crystal structure of KTbAg2I6 from the Alexandria database. Energies are from GGA-PBE.

Formation energy (no corrections) (eV per formula unit): -9.2

Unit cell a=8.0416 b=8.0428 c=9.2395 alpha=90.01 beta=115.81 gamma=119.99
Last column: nearest neighbours and their distance in Å.
Fractional coordinates of all 10 atoms:
K1 0.9966 0.4978 0.4803  6 I 3.56
Tb1 0.9966 0.9978 0.9803  6 I 3.06
Ag1 0.4595 0.7291 0.1748  3 I 2.78
Ag2 0.5332 0.2662 0.7854  3 I 2.78
I1 0.5405 0.9263 0.7547  1 Ag 2.78, 1 Tb 3.06
I2 0.4528 0.0694 0.2057  1 Ag 2.78, 1 Tb 3.06
I3 0.8379 0.7673 0.2058  1 Ag 2.78, 1 Tb 3.06
I4 0.1510 0.3821 0.2063  1 Ag 2.78, 1 Tb 3.06
I5 0.8424 0.6133 0.7545  1 Ag 2.78, 1 Tb 3.06
I6 0.1552 0.2283 0.7547  1 Ag 2.78, 1 Tb 3.06

***

(12)
Here is an optimized crystal structure of Nd8Tl4H from the Alexandria database. Energies are from GGA-PBE.

Uncorrected energy (eV per atom): -4.225

Unit cell a=5.0593 b=4.5324 c=16.4156 alpha=90.00 beta=90.00 gamma=90.00
Last column: nearest neighbours and their distance in Å.
Fractional coordinates of all 13 atoms:
Nd1 0.0000 0.0000 0.4296  1 H 2.36
Nd2 0.0000 0.5000 0.9268  6 Tl 3.41-3.48, 4 Nd 3.53-3.61
Nd3 0.5000 0.5000 0.0771  6 Tl 3.40-3.54, 4 Nd 3.53-3.59
Nd4 0.5000 0.0000 0.5779  6 Tl 3.40-3.54, 4 Nd 3.51-3.59
Nd5 0.0000 0.5000 0.2320  2 H 2.43
Nd6 0.0000 0.0000 0.7330  2 Tl 3.25, 6 Nd 3.45-3.59
Nd7 0.5000 0.0000 0.2685  2 H 2.55
Nd8 0.5000 0.5000 0.7698  2 Tl 3.25, 6 Nd 3.45-3.61
Tl1 0.0000 0.0000 0.0874  1 H 3.26, 8 Nd 3.28-3.48
Tl2 0.0000 0.5000 0.5912  8 Nd 3.25-3.49
Tl3 0.5000 0.5000 0.4119  8 Nd 3.27-3.54
Tl4 0.5000 0.0000 0.9119  8 Nd 3.25-3.54
H1 0.0000 0.0000 0.2860  5 Nd 2.36-2.55

***

(13)
Here is an optimized crystal structure of Ta3POs from the Alexandria database. Energies are from GGA-PBE.

Uncorrected energy (eV per atom): -9.135

Unit cell a=4.8419 b=4.8419 c=4.8419 alpha=90.00 beta=90.00 gamma=90.00
Last column: nearest neighbours and their distance in Å.
Fractional coordinates of all 5 atoms:
P1 0.5000 0.5000 0.5000  12 Ta 3.42
Os1 0.0000 0.0000 0.0000  6 Ta 2.42
Ta1 0.0000 0.5000 0.0000  2 Os 2.42
Ta2 0.0000 0.0000 0.5000  2 Os 2.42
Ta3 0.5000 0.0000 0.0000  2 Os 2.42

***

(14)
Here is an optimized crystal structure of Ca2FeRh from the Alexandria database. Energies are from GGA-PBE.

Uncorrected energy (eV per atom): -4.977

Unit cell a=4.0507 b=4.4120 c=5.7975 alpha=67.60 beta=90.00 gamma=90.00
Last column: nearest neighbours and their distance in Å.
Fractional coordinates of all 4 atoms:
Ca1 0.0000 0.9852 0.9046  3 Fe 3.05-3.25, 4 Rh 3.12
Ca2 0.5000 0.2674 0.3404  3 Rh 3.09-3.20, 4 Fe 3.13
Rh1 0.5000 0.5653 0.7441  2 Fe 2.38
Fe1 0.0000 0.6820 0.5108  2 Rh 2.38

***

(15)
Here is an optimized crystal structure of KCrHg from the Alexandria database. Energies are from GGA-PBE.

Uncorrected energy (eV per atom): -3.202

Unit cell a=6.7720 b=6.7720 c=6.7720 alpha=151.61 beta=142.36 gamma=47.81
Last column: nearest neighbours and their distance in Å.
Fractional coordinates of all 3 atoms:
Cr1 0.9432 0.9432 0.0000  4 Hg 2.83
Hg1 0.3878 0.3878 0.0000  4 Cr 2.83
K1 0.6689 0.6689 0.0000  2 K 3.32, 1 Cr 3.40, 1 Hg 3.48

***

(16)
Here is an optimized crystal structure of Ho3ZnCu3 from the Alexandria database. Energies are from GGA-PBE.

Uncorrected energy (eV per atom): -4.162

Unit cell a=4.1556 b=5.4846 c=13.6805 alpha=84.67 beta=81.26 gamma=67.74
Last column: nearest neighbours and their distance in Å.
Fractional coordinates of all 14 atoms:
Ho1 0.5357 0.3174 0.6111  4 Zn 2.94-3.18, 7 Cu 2.97-3.22
Ho2 0.4643 0.6826 0.3889  4 Zn 2.94-3.18, 7 Cu 2.97-3.22
Ho3 0.2543 0.2598 0.2316  6 Cu 2.93-3.03, 2 Zn 3.13
Ho4 0.7457 0.7402 0.7684  6 Cu 2.93-3.03, 2 Zn 3.13
Ho5 0.3933 0.2909 0.9225  7 Cu 2.94-3.04
Ho6 0.6067 0.7091 0.0775  7 Cu 2.94-3.04
Zn1 0.7569 0.0910 0.3951  4 Cu 2.45-2.73
Zn2 0.2431 0.9090 0.6049  4 Cu 2.45-2.73
Cu1 0.8705 0.7141 0.5448  3 Zn 2.45-2.73, 1 Cu 2.53
Cu2 0.1295 0.2859 0.4552  3 Zn 2.45-2.73, 1 Cu 2.53
Cu3 0.1038 0.8698 0.9226  2 Cu 2.52-2.53
Cu4 0.8962 0.1302 0.0774  2 Cu 2.52-2.53
Cu5 0.9649 0.8373 0.2329  1 Cu 2.53, 1 Zn 2.59
Cu6 0.0351 0.1627 0.7671  1 Cu 2.53, 1 Zn 2.59

***

(17)
Here is an optimized crystal structure of Sm3Dy4Cd from the Alexandria database. Energies are from GGA-PBE.

Uncorrected energy (eV per atom): -4.231

Unit cell a=6.2139 b=7.0710 c=11.2701 alpha=90.00 beta=90.00 gamma=90.00
Last column: nearest neighbours and their distance in Å.
Fractional coordinates of all 16 atoms:
Sm1 0.6259 0.6283 0.0000  5 Dy 3.39-3.55, 4 Sm 3.45-3.57, 2 Cd 3.47-3.75
Sm2 0.9791 0.6184 0.2358  2 Cd 3.37-3.60, 4 Sm 3.45-3.57, 6 Dy 3.46-3.65
Sm3 0.4791 0.3816 0.2642  2 Cd 3.37-3.60, 4 Sm 3.45-3.57, 6 Dy 3.46-3.65
Sm4 0.1259 0.3717 0.5000  5 Dy 3.39-3.55, 4 Sm 3.45-3.57, 2 Cd 3.47-3.75
Sm5 0.4791 0.3816 0.7358  2 Cd 3.37-3.60, 4 Sm 3.45-3.57, 6 Dy 3.46-3.65
Sm6 0.9791 0.6184 0.7642  2 Cd 3.37-3.60, 4 Sm 3.45-3.57, 6 Dy 3.46-3.65
Dy1 0.1649 0.8855 0.0000  6 Dy 3.38-3.70, 3 Sm 3.39-3.46, 2 Cd 3.42-3.65
Dy2 0.6396 0.1303 0.0000  6 Dy 3.42-3.70, 2 Cd 3.46-3.61, 4 Sm 3.52-3.61
Dy3 0.9869 0.1256 0.2403  1 Cd 3.37, 6 Dy 3.38-3.59, 5 Sm 3.49-3.65
Dy4 0.4869 0.8744 0.2597  1 Cd 3.37, 6 Dy 3.38-3.59, 5 Sm 3.49-3.65
Dy5 0.1396 0.8697 0.5000  6 Dy 3.42-3.70, 2 Cd 3.46-3.61, 4 Sm 3.52-3.61
Dy6 0.6649 0.1145 0.5000  6 Dy 3.38-3.70, 3 Sm 3.39-3.46, 2 Cd 3.42-3.65
Dy7 0.4869 0.8744 0.7403  1 Cd 3.37, 6 Dy 3.38-3.59, 5 Sm 3.49-3.65
Dy8 0.9869 0.1256 0.7597  1 Cd 3.37, 6 Dy 3.38-3.59, 5 Sm 3.49-3.65
Cd1 0.1528 0.3688 0.0000  6 Sm 3.37-3.75, 6 Dy 3.37-3.65
Cd2 0.6528 0.6312 0.5000  6 Sm 3.37-3.75, 6 Dy 3.37-3.65

***

(18)
Here is an optimized crystal structure of Cu2OsW from the Alexandria database. Energies are from GGA-PBE.

Uncorrected energy (eV per atom): -7.574

Unit cell a=4.2361 b=4.2361 c=4.2361 alpha=60.00 beta=60.00 gamma=60.00
Last column: nearest neighbours and their distance in Å.
Fractional coordinates of all 4 atoms:
Os1 0.5000 0.5000 0.5000  8 Cu 2.59
Cu1 0.2500 0.2500 0.2500  4 Os 2.59, 4 W 2.59
Cu2 0.7500 0.7500 0.7500  4 Os 2.59, 4 W 2.59
W1 0.0000 0.0000 0.0000  8 Cu 2.59

***

(19)
Here is an optimized crystal structure of Tm3BiH from the Alexandria database. Energies are from GGA-PBE.

Uncorrected energy (eV per atom): -4.490

Unit cell a=4.7997 b=4.7997 c=4.7997 alpha=90.00 beta=90.00 gamma=90.00
Last column: nearest neighbours and their distance in Å.
Fractional coordinates of all 5 atoms:
H1 0.0000 0.0000 0.0000  6 Tm 2.40
Tm1 0.0000 0.5000 0.0000  2 H 2.40
Tm2 0.0000 0.0000 0.5000  2 H 2.40
Tm3 0.5000 0.0000 0.0000  2 H 2.40
Bi1 0.5000 0.5000 0.5000  12 Tm 3.39

***

(20)
Here is an optimized crystal structure of La2Pm3Pr6Er from the Alexandria database. Energies are from GGA-PBE.

Uncorrected energy (eV per atom): -4.763

Unit cell a=6.3932 b=6.3932 c=12.2267 alpha=95.05 beta=95.05 gamma=119.99
Last column: nearest neighbours and their distance in Å.
Fractional coordinates of all 12 atoms:
La1 0.3329 0.6671 0.0000  3 Er 3.69, 3 La 3.69-3.70, 6 Pr 3.70
La2 0.6671 0.3329 0.0000  3 Er 3.69, 3 La 3.69-3.70, 6 Pr 3.70
Pm1 0.1664 0.8336 0.5000  6 Pr 3.67-3.68, 6 Pm 3.68-3.69
Pm2 0.8336 0.1664 0.5000  6 Pr 3.67-3.68, 6 Pm 3.68-3.69
Pm3 0.5000 0.5000 0.5000  6 Pr 3.67-3.68, 6 Pm 3.69
Pr1 0.9165 0.5849 0.7490  6 Pr 3.67-3.70, 3 Pm 3.67-3.68, 1 Er 3.69, 2 La 3.70
Pr2 0.7515 0.7515 0.2512  3 Pm 3.67-3.68, 6 Pr 3.67-3.70, 1 Er 3.70, 2 La 3.70
Pr3 0.0835 0.4151 0.2510  6 Pr 3.67-3.70, 3 Pm 3.67-3.68, 1 Er 3.69, 2 La 3.70
Pr4 0.5849 0.9165 0.7490  6 Pr 3.67-3.70, 3 Pm 3.67-3.68, 1 Er 3.69, 2 La 3.70
Pr5 0.2485 0.2485 0.7488  3 Pm 3.67-3.68, 6 Pr 3.67-3.70, 1 Er 3.70, 2 La 3.70
Pr6 0.4151 0.0835 0.2510  6 Pr 3.67-3.70, 3 Pm 3.67-3.68, 1 Er 3.69, 2 La 3.70
Er1 0.0000 0.0000 0.0000  6 La 3.69, 6 Pr 3.69-3.70

***

What D(E_F) values result from the calculations? In sequence: 22.95; 17.55; 0.00; 2.40; 2.38; 7.21; 3.73; 16.24; 2.91; 3.72; 0.00; 11.15; 6.03; 4.77; 1.52; 11.62; 19.40; 6.01; 6.87; 19.38 states/eV per cell.